Material: SrBMoO2
Method: DFT, GGA+U
State: relaxed

- D(E_F) (states/eV per atom) = 0.664
- DFT total energy (Ry/atom) = -0.2756

a b c (Å): 4.3620 4.3620 4.8628
angles (deg): 90.00 90.00 90.00
Space group P4/mmm (No. 123)
One atom of each set of equivalent atoms:
Sr1 0.0000 0.0000 0.0000 x1
B1 0.0000 0.0000 0.5000 x1
Mo1 0.5000 0.5000 0.5000 x1
O1 0.0000 0.5000 0.0000 x2